Ti2Be16Al: relaxed, PBE-GGA.

abc: 5.6317 5.6317 5.6317
angles: 82.92 82.92 82.92
Atoms (fractional coordinates):
Ti: 0.6570 0.6570 0.6570
Ti: 0.3382 0.3382 0.3382
Be: 0.6976 0.0004 0.3024
Be: 0.0004 0.3024 0.6976
Be: 0.3024 0.6976 0.0004
Be: 0.0004 0.6976 0.3024
Be: 0.6976 0.3024 0.0004
Be: 0.3024 0.0004 0.6976
Be: 0.3451 0.8381 0.3451
Be: 0.8381 0.3451 0.3451
Be: 0.3451 0.3451 0.8381
Be: 0.6486 0.1686 0.6486
Be: 0.1686 0.6486 0.6486
Be: 0.6486 0.6486 0.1686
Be: 0.0042 0.4901 0.0042
Be: 0.4901 0.0042 0.0042
Be: 0.0042 0.0042 0.4901
Be: 0.1090 0.1090 0.1090
Al: 0.9022 0.9022 0.9022

For the magnetization, the calculation gives 0.00 μB/cell. Its formation energy is -0.180 eV/atom. For the energy, the calculation gives -4.346 eV per atom. The space group is R3m, No. 160.